Record 1
An optimized crystal structure of LaTbPrSe3. Source: Alexandria, functional GGA-PBE.

Properties
N(E_F), states/eV/atom: 0.509
Magnetization, μB per atom: 0.110
E_tot, eV/atom: -5.8287
Volume, Å³/f.u.: 174.7

Unit cell a=4.1563 b=8.0917 c=10.6238 alpha=102.02 beta=90.00 gamma=90.00
Closest atoms and distances in Å follow each position.
Fractional positions:
1 La 0.7500 0.8218 0.7970  7 Se 3.05-3.23
2 Se 0.7500 0.4642 0.1826  3 Tb 2.90, 2 La 3.15, 1 Pr 3.16
3 Tb 0.7500 0.3381 0.9061  5 Se 2.84-2.90
4 Se 0.2500 0.5358 0.8174  3 Tb 2.90, 2 La 3.15, 1 Pr 3.16
5 Pr 0.2500 0.1843 0.6213  5 Se 2.97-3.16
6 Se 0.7500 0.1977 0.4238  3 Pr 2.97-3.03, 2 La 3.11
7 Se 0.7500 0.9046 0.1076  2 Tb 2.84, 2 La 3.05, 1 Pr 3.11
8 Se 0.2500 0.8023 0.5762  3 Pr 2.97-3.03, 2 La 3.11
9 Pr 0.7500 0.8157 0.3787  5 Se 2.97-3.16
10 La 0.2500 0.1782 0.2030  7 Se 3.05-3.23
11 Se 0.2500 0.0954 0.8924  2 Tb 2.84, 2 La 3.05, 1 Pr 3.11
12 Tb 0.2500 0.6619 0.0939  5 Se 2.84-2.90


Record 2
An optimized crystal structure of La2Tb3PrSe6. Source: Alexandria, functional GGA-PBE.

Properties
N(E_F), states/eV/atom: 0.499
Magnetization, μB per atom: 0.000
E_tot, eV/atom: -5.9858
Volume, Å³/f.u.: 313.4

Unit cell a=4.1530 b=8.4895 c=9.4176 alpha=104.22 beta=102.74 gamma=90.00
Closest atoms and distances in Å follow each position.
Fractional positions:
1 Se 0.3300 0.9274 0.6601  3 Tb 2.90-2.91, 1 Pr 3.03, 2 La 3.04
2 Se 0.0042 0.7415 0.0084  3 Tb 2.89-2.91, 1 La 3.02, 2 Pr 3.04
3 Se 0.9958 0.2585 0.9916  3 Tb 2.89-2.91, 1 La 3.02, 2 Pr 3.04
4 La 0.8344 0.6690 0.6689  6 Se 3.02-3.05
5 Pr 0.5000 0.0000 0.0000  6 Se 3.03-3.04
6 Se 0.6632 0.5923 0.3264  3 Tb 2.90, 3 La 3.05
7 Tb 0.8336 0.1669 0.6671  6 Se 2.89-2.91
8 Se 0.3368 0.4077 0.6736  3 Tb 2.90, 3 La 3.05
9 La 0.1656 0.3310 0.3311  6 Se 3.02-3.05
10 Tb 0.1664 0.8331 0.3329  6 Se 2.89-2.91
11 Se 0.6700 0.0726 0.3399  3 Tb 2.90-2.91, 1 Pr 3.03, 2 La 3.04
12 Tb 0.5000 0.5000 0.0000  6 Se 2.90-2.91


Record 3
An optimized crystal structure of La3Tb2PrSe6. Source: Alexandria, functional GGA-PBE.

Properties
N(E_F), states/eV/atom: 0.529
Magnetization, μB per atom: 0.000
E_tot, eV/atom: -6.0481
Volume, Å³/f.u.: 321.6

Unit cell a=7.3267 b=7.3267 c=7.3468 alpha=99.56 beta=99.56 gamma=120.15
Closest atoms and distances in Å follow each position.
Fractional positions:
1 Se 0.5778 0.9203 0.7607  2 Tb 2.92, 1 Pr 3.01, 3 La 3.02-3.06
2 Se 0.4222 0.0797 0.2393  2 Tb 2.92, 1 Pr 3.01, 3 La 3.02-3.06
3 Tb 0.3333 0.6667 0.0000  6 Se 2.91-2.92
4 La 0.1624 0.8376 0.5000  6 Se 3.02-3.06
5 La 0.5000 0.5000 0.5000  6 Se 3.00-3.06
6 Se 0.7357 0.7357 0.2350  2 Tb 2.91, 1 Pr 2.99, 3 La 3.00-3.04
7 La 0.8376 0.1624 0.5000  6 Se 3.02-3.06
8 Se 0.9203 0.5778 0.7607  2 Tb 2.92, 1 Pr 3.01, 3 La 3.02-3.06
9 Se 0.0797 0.4222 0.2393  2 Tb 2.92, 1 Pr 3.01, 3 La 3.02-3.06
10 Pr 0.0000 0.0000 0.0000  6 Se 2.99-3.01
11 Tb 0.6667 0.3333 0.0000  6 Se 2.91-2.92
12 Se 0.2643 0.2643 0.7650  2 Tb 2.91, 1 Pr 2.99, 3 La 3.00-3.04


Record 4
An optimized crystal structure of La2TbPrSe4. Source: Alexandria, functional GGA-PBE.

Properties
N(E_F), states/eV/atom: 0.651
Magnetization, μB per atom: 0.000
E_tot, eV/atom: -6.0543
Volume, Å³/f.u.: 216.8

Unit cell a=4.2107 b=7.3892 c=7.3713 alpha=109.07 beta=90.00 gamma=90.00
Closest atoms and distances in Å follow each position.
Fractional positions:
1 Se 0.5000 0.7614 0.7625  2 Tb 2.93, 1 Pr 3.00, 3 La 3.01-3.08
2 Se 0.0000 0.7548 0.2429  1 Tb 2.93, 2 Pr 3.00, 3 La 3.01-3.08
3 La 0.5000 0.0000 0.5000  6 Se 3.01
4 Se 0.0000 0.2452 0.7571  1 Tb 2.93, 2 Pr 3.00, 3 La 3.01-3.08
5 La 0.0000 0.5000 0.5000  6 Se 3.08
6 Tb 0.0000 0.0000 0.0000  6 Se 2.93
7 Pr 0.5000 0.5000 0.0000  6 Se 3.00
8 Se 0.5000 0.2386 0.2375  2 Tb 2.93, 1 Pr 3.00, 3 La 3.01-3.08


Record 5
An optimized crystal structure of LaTb4Pr3Se8. Source: Alexandria, functional GGA-PBE.

Properties
N(E_F), states/eV/atom: 0.598
Magnetization, μB per atom: 0.000
E_tot, eV/atom: -5.9351
Volume, Å³/f.u.: 415.5

Unit cell a=8.2916 b=8.4636 c=8.2918 alpha=119.34 beta=120.00 gamma=90.00
Closest atoms and distances in Å follow each position.
Fractional positions:
1 Se 0.2449 0.2332 0.9887  3 Tb 2.89-2.90, 2 Pr 3.03, 1 La 3.04
2 La 0.0000 0.5000 0.0000  6 Se 3.03-3.04
3 Tb 0.0000 0.0000 0.0000  6 Se 2.89-2.90
4 Tb 0.5000 0.0000 0.5000  6 Se 2.89-2.90
5 Se 0.7551 0.7668 0.0113  3 Tb 2.89-2.90, 2 Pr 3.03, 1 La 3.04
6 Se 0.7444 0.2337 0.4887  3 Tb 2.89-2.90, 2 Pr 3.03, 1 La 3.03
7 Tb 0.0000 0.0000 0.5000  6 Se 2.89-2.90
8 Se 0.7438 0.2332 0.9887  3 Tb 2.89-2.90, 2 Pr 3.03, 1 La 3.04
9 Se 0.2562 0.7668 0.0113  3 Tb 2.89-2.90, 2 Pr 3.03, 1 La 3.04
10 Se 0.7557 0.7662 0.5114  3 Tb 2.89-2.90, 3 Pr 3.03
11 Se 0.2443 0.2338 0.4886  3 Tb 2.89-2.90, 3 Pr 3.03
12 Tb 0.5000 0.0000 0.0000  6 Se 2.89
13 Pr 0.5000 0.5000 0.5000  6 Se 3.03
14 Pr 0.5000 0.5000 0.0000  6 Se 3.03
15 Pr 0.0000 0.5000 0.5000  6 Se 3.03
16 Se 0.2556 0.7663 0.5113  3 Tb 2.89-2.90, 2 Pr 3.03, 1 La 3.03


Record 6
An optimized crystal structure of LaPrTeSe. Source: Alexandria, functional GGA-PBE.

Properties
N(E_F), states/eV/atom: 0.401
Magnetization, μB per atom: 0.000
E_tot, eV/atom: -5.8135
Volume, Å³/f.u.: 122.6

Unit cell a=4.4104 b=4.4104 c=7.7114 alpha=73.38 beta=73.38 gamma=60.00
Closest atoms and distances in Å follow each position.
Fractional positions:
1 La 0.9904 0.9904 0.0289  3 Se 3.02, 3 Te 3.27
2 Se 0.2492 0.2492 0.2524  3 Pr 3.00, 3 La 3.02
3 Pr 0.5098 0.5098 0.4707  3 Se 3.00, 3 Te 3.25
4 Te 0.7507 0.7507 0.7479  3 Pr 3.25, 3 La 3.27


Record 7
An optimized crystal structure of La2Pr2Te2Se3. Source: Alexandria, functional GGA-PBE.

Properties
N(E_F), states/eV/atom: 0.547
Magnetization, μB per atom: 0.000
E_tot, eV/atom: -5.5855
Volume, Å³/f.u.: 275.6

Unit cell a=5.8324 b=5.8324 c=9.0903 alpha=108.71 beta=108.71 gamma=90.00
Closest atoms and distances in Å follow each position.
Fractional positions:
1 Te 0.6048 0.6048 0.2095  1 La 3.22, 4 Pr 3.37, 1 Te 3.39
2 Se 0.0000 0.0000 0.0000  4 Pr 2.92, 2 La 3.19
3 Se 0.2500 0.7500 0.5000  4 La 3.04
4 La 0.8032 0.8032 0.6064  5 Se 3.04-3.19, 1 Te 3.22
5 Te 0.3952 0.3952 0.7905  1 La 3.22, 4 Pr 3.37, 1 Te 3.39
6 Pr 0.0000 0.5000 0.0000  2 Se 2.92
7 Se 0.7500 0.2500 0.5000  4 La 3.04
8 Pr 0.5000 0.0000 0.0000  2 Se 2.92
9 La 0.1968 0.1968 0.3936  5 Se 3.04-3.19, 1 Te 3.22


Record 8
An optimized crystal structure of La3PrTh2Se6. Source: Alexandria, functional GGA-PBE.

Properties
N(E_F), states/eV/atom: 0.633
Magnetization, μB per atom: 0.000
E_tot, eV/atom: -6.4244
Volume, Å³/f.u.: 329.4

Unit cell a=7.3626 b=7.3626 c=7.4157 alpha=99.52 beta=99.52 gamma=119.78
Closest atoms and distances in Å follow each position.
Fractional positions:
1 Th 0.3329 0.6671 0.0000  6 Se 2.99
2 Pr 0.0000 0.0000 0.0000  6 Se 3.01-3.02
3 Se 0.4181 0.0823 0.2464  2 Th 2.99, 1 Pr 3.02, 3 La 3.04
4 La 0.1643 0.8357 0.5000  6 Se 3.03-3.04
5 La 0.5000 0.5000 0.5000  6 Se 3.03-3.04
6 Se 0.5819 0.9177 0.7536  2 Th 2.99, 1 Pr 3.02, 3 La 3.04
7 Se 0.9177 0.5819 0.7536  2 Th 2.99, 1 Pr 3.02, 3 La 3.04
8 Se 0.7453 0.7453 0.2435  2 Th 2.99, 1 Pr 3.01, 3 La 3.03
9 Se 0.0823 0.4181 0.2464  2 Th 2.99, 1 Pr 3.02, 3 La 3.04
10 La 0.8357 0.1643 0.5000  6 Se 3.03-3.04
11 Th 0.6671 0.3329 0.0000  6 Se 2.99
12 Se 0.2547 0.2547 0.7565  2 Th 2.99, 1 Pr 3.01, 3 La 3.03


Record 9
An optimized crystal structure of LaPr3Th4Se8. Source: Alexandria, functional GGA-PBE.

Properties
N(E_F), states/eV/atom: 0.387
Magnetization, μB per atom: 0.000
E_tot, eV/atom: -6.5096
Volume, Å³/f.u.: 430.3

Unit cell a=8.4142 b=8.5352 c=8.4106 alpha=119.49 beta=120.01 gamma=90.00
Closest atoms and distances in Å follow each position.
Fractional positions:
1 Se 0.7507 0.7518 0.5013  3 Th 2.99, 3 Pr 3.00
2 Pr 0.5000 0.5000 0.5000  6 Se 3.00
3 Se 0.2504 0.2475 0.9989  3 Th 2.98-2.99, 2 Pr 3.00, 1 La 3.01
4 Se 0.7485 0.2475 0.9989  3 Th 2.98-2.99, 2 Pr 3.00, 1 La 3.01
5 Th 0.0000 0.0000 0.5000  6 Se 2.99
6 Se 0.2514 0.7524 0.5028  3 Th 2.98-2.99, 2 Pr 3.00, 1 La 3.01
7 Se 0.2515 0.7525 0.0011  3 Th 2.98-2.99, 2 Pr 3.00, 1 La 3.01
8 Pr 0.0000 0.5000 0.5000  6 Se 3.00
9 La 0.0000 0.5000 0.0000  6 Se 3.01
10 Se 0.7496 0.7525 0.0011  3 Th 2.98-2.99, 2 Pr 3.00, 1 La 3.01
11 Pr 0.5000 0.5000 0.0000  6 Se 3.00
12 Th 0.0000 0.0000 0.0000  6 Se 2.99
13 Se 0.7486 0.2476 0.4972  3 Th 2.98-2.99, 2 Pr 3.00, 1 La 3.01
14 Th 0.5000 0.0000 0.0000  6 Se 2.98
15 Th 0.5000 0.0000 0.5000  6 Se 2.99
16 Se 0.2493 0.2482 0.4987  3 Th 2.99, 3 Pr 3.00


Record 10
An optimized crystal structure of La3Pr4ThSe8. Source: Alexandria, functional GGA-PBE.

Properties
N(E_F), states/eV/atom: 0.683
Magnetization, μB per atom: 0.000
E_tot, eV/atom: -6.1873
Volume, Å³/f.u.: 442.0

Unit cell a=8.5685 b=8.5314 c=8.5665 alpha=120.12 beta=120.01 gamma=90.00
Closest atoms and distances in Å follow each position.
Fractional positions:
1 Se 0.7521 0.2508 0.5042  1 Th 3.00, 3 Pr 3.02-3.05, 2 La 3.03
2 Pr 0.5000 0.0000 0.0000  6 Se 3.05
3 Se 0.2479 0.7492 0.4958  1 Th 3.00, 3 Pr 3.02-3.05, 2 La 3.03
4 Se 0.2480 0.7492 0.0013  1 Th 3.00, 3 Pr 3.02-3.05, 2 La 3.03
5 La 0.5000 0.5000 0.5000  6 Se 3.03
6 Th 0.0000 0.5000 0.0000  6 Se 3.00
7 Se 0.7533 0.7492 0.0013  1 Th 3.00, 3 Pr 3.02-3.05, 2 La 3.03
8 Pr 0.0000 0.0000 0.0000  6 Se 3.02
9 Se 0.2494 0.2483 0.4988  3 Pr 3.02, 3 La 3.03
10 La 0.0000 0.5000 0.5000  6 Se 3.03
11 Pr 0.5000 0.0000 0.5000  6 Se 3.02
12 Pr 0.0000 0.0000 0.5000  6 Se 3.02
13 Se 0.7506 0.7517 0.5012  3 Pr 3.02, 3 La 3.03
14 Se 0.2467 0.2508 0.9987  1 Th 3.00, 3 Pr 3.02-3.05, 2 La 3.03
15 Se 0.7520 0.2508 0.9987  1 Th 3.00, 3 Pr 3.02-3.05, 2 La 3.03
16 La 0.5000 0.5000 0.0000  6 Se 3.03


Record 11
An optimized crystal structure of LaPrTh2Se4. Source: Alexandria, functional GGA-PBE.

Properties
N(E_F), states/eV/atom: 0.665
Magnetization, μB per atom: 0.000
E_tot, eV/atom: -6.5337
Volume, Å³/f.u.: 216.2

Unit cell a=4.2639 b=7.2822 c=7.3911 alpha=109.59 beta=90.00 gamma=90.00
Closest atoms and distances in Å follow each position.
Fractional positions:
1 Pr 0.5000 0.5000 0.0000  6 Se 3.01
2 La 0.0000 0.0000 0.0000  6 Se 3.02
3 Th 0.5000 0.0000 0.5000  6 Se 2.99
4 Se 0.0000 0.7499 0.2531  3 Th 2.98-2.99, 2 Pr 3.01, 1 La 3.02
5 Se 0.5000 0.7475 0.7463  3 Th 2.98-2.99, 1 Pr 3.01, 2 La 3.02
6 Se 0.5000 0.2525 0.2537  3 Th 2.98-2.99, 1 Pr 3.01, 2 La 3.02
7 Se 0.0000 0.2501 0.7469  3 Th 2.98-2.99, 2 Pr 3.01, 1 La 3.02
8 Th 0.0000 0.5000 0.5000  6 Se 2.98